[1]
A geometry-optimized NaAgSnGe structure. Source: Alexandria via LeMat-Bulk, functional PBE.

Cell and atoms, written as CIF:
```
data_NaAgSnGe
_cell_length_a 7.041
_cell_length_b 7.041
_cell_length_c 7.041
_cell_angle_alpha 90.00
_cell_angle_beta 90.00
_cell_angle_gamma 90.00
_space_group_name_H-M_alt 'F -4 3 m'
_space_group_IT_number 216
_space_group_name_Hall 'F -4 2 3'
loop_
_atom_site_label
_atom_site_type_symbol
_atom_site_fract_x
_atom_site_fract_y
_atom_site_fract_z
Na1 Na 0.000 0.000 0.000
Ag1 Ag 0.250 0.250 0.750
Sn1 Sn 0.000 0.000 0.500
Ge1 Ge 0.250 0.250 0.250
```

Summary:
Total DFT energy (no corrections)   -50.72 eV/cell
Size of the total moment   0.0 μB per formula unit
Density of states at the Fermi level   4.36 states/eV per cell

---

[2]
A geometry-optimized YScAlHg structure. Source: Alexandria via LeMat-Bulk, functional PBE.

Cell and atoms, written as CIF:
```
data_YScAlHg
_cell_length_a 7.159
_cell_length_b 7.159
_cell_length_c 7.159
_cell_angle_alpha 90.00
_cell_angle_beta 90.00
_cell_angle_gamma 90.00
_space_group_name_H-M_alt 'F -4 3 m'
_space_group_IT_number 216
_space_group_name_Hall 'F -4 2 3'
loop_
_atom_site_label
_atom_site_type_symbol
_atom_site_fract_x
_atom_site_fract_y
_atom_site_fract_z
Y1 Y 0.000 0.000 0.000
Sc1 Sc 0.000 0.000 0.500
Al1 Al 0.250 0.250 0.250
Hg1 Hg 0.250 0.250 0.750
```

Summary:
Total DFT energy (no corrections)   -73.76 eV/cell
Size of the total moment   0.0 μB per formula unit
Density of states at the Fermi level   17.15 states/eV per cell

---

[3]
A geometry-optimized CsAgBiI5 structure. Source: Alexandria via LeMat-Bulk, functional PBE.

Cell and atoms, written as CIF:
```
data_CsAgBiI5
_cell_length_a 10.256
_cell_length_b 14.117
_cell_length_c 11.587
_cell_angle_alpha 90.00
_cell_angle_beta 111.46
_cell_angle_gamma 90.00
_space_group_name_H-M_alt 'C 1 2/c 1'
_space_group_IT_number 15
loop_
_space_group_symop_operation_xyz
'x,y,z'
'-x,-y,-z'
'-x,y,-z+1/2'
'x,-y,z+1/2'
'x+1/2,y+1/2,z'
'-x+1/2,-y+1/2,-z'
'-x+1/2,y+1/2,-z+1/2'
'x+1/2,-y+1/2,z+1/2'
loop_
_atom_site_label
_atom_site_type_symbol
_atom_site_fract_x
_atom_site_fract_y
_atom_site_fract_z
Cs1 Cs 0.000 0.144 0.250
Ag1 Ag 0.000 0.191 0.750
Bi1 Bi 0.000 0.500 0.000
I1 I 0.000 0.420 0.250
I2 I 0.106 0.297 0.594
I3 I 0.193 0.072 0.941
```

Summary:
Total DFT energy (no corrections)   -82.85 eV/cell
Size of the total moment   0.0 μB per formula unit

---

[4]
A geometry-optimized BaAcSiPd structure. Source: Alexandria via LeMat-Bulk, functional PBE.

Cell and atoms, written as CIF:
```
data_BaAcSiPd
_cell_length_a 7.778
_cell_length_b 7.778
_cell_length_c 7.778
_cell_angle_alpha 90.00
_cell_angle_beta 90.00
_cell_angle_gamma 90.00
_space_group_name_H-M_alt 'F -4 3 m'
_space_group_IT_number 216
_space_group_name_Hall 'F -4 2 3'
loop_
_atom_site_label
_atom_site_type_symbol
_atom_site_fract_x
_atom_site_fract_y
_atom_site_fract_z
Ba1 Ba 0.000 0.000 0.000
Ac1 Ac 0.000 0.000 0.500
Si1 Si 0.250 0.250 0.250
Pd1 Pd 0.250 0.250 0.750
```

Summary:
Total DFT energy (no corrections)   -72.67 eV/cell
Size of the total moment   0.0 μB per formula unit
Density of states at the Fermi level   15.19 states/eV per cell

---

[5]
A geometry-optimized BaGa2AgRu structure. Source: Alexandria via LeMat-Bulk, functional PBE.

Cell and atoms, written as CIF:
```
data_BaGa2AgRu
_cell_length_a 4.803
_cell_length_b 4.803
_cell_length_c 5.414
_cell_angle_alpha 90.00
_cell_angle_beta 90.00
_cell_angle_gamma 90.00
_space_group_name_H-M_alt 'P 4/m m m'
_space_group_IT_number 123
_space_group_name_Hall '-P 4 2'
loop_
_atom_site_label
_atom_site_type_symbol
_atom_site_fract_x
_atom_site_fract_y
_atom_site_fract_z
Ba1 Ba 0.000 0.000 0.000
Ga1 Ga 0.000 0.500 0.500
Ag1 Ag 0.500 0.500 0.000
Ru1 Ru 0.500 0.500 0.500
```

Summary:
Total DFT energy (no corrections)   -21.38 eV/cell
Size of the total moment   0.0 μB per formula unit
Density of states at the Fermi level   2.78 states/eV per cell

---

[6]
A geometry-optimized TbPm2DyTh structure. Source: Alexandria via LeMat-Bulk, functional PBE.

Cell and atoms, written as CIF:
```
data_TbPm2DyTh
_cell_length_a 8.532
_cell_length_b 6.404
_cell_length_c 6.379
_cell_angle_alpha 90.00
_cell_angle_beta 95.12
_cell_angle_gamma 90.00
_space_group_name_H-M_alt 'P 1 2/c 1'
_space_group_IT_number 13
loop_
_space_group_symop_operation_xyz
'x,y,z'
'-x,-y,-z'
'-x,y,-z+1/2'
'x,-y,z+1/2'
loop_
_atom_site_label
_atom_site_type_symbol
_atom_site_fract_x
_atom_site_fract_y
_atom_site_fract_z
Tb1 Tb 0.000 0.000 0.000
Pm1 Pm 0.311 0.298 0.221
Dy1 Dy 0.500 0.182 0.750
Th1 Th 0.000 0.447 0.750
```

Summary:
Total DFT energy (no corrections)   -49.20 eV/cell
Size of the total moment   0.0 μB per formula unit
Density of states at the Fermi level   13.50 states/eV per cell

---

[7]
A geometry-optimized TbSmTh2 structure. Source: Alexandria via LeMat-Bulk, functional PBE.

Cell and atoms, written as CIF:
```
data_TbSmTh2
_cell_length_a 3.5025
_cell_length_b 3.5025
_cell_length_c 37.3183
_cell_angle_alpha 90.00
_cell_angle_beta 90.00
_cell_angle_gamma 120.00
_space_group_name_H-M_alt 'R -3 m'
_space_group_IT_number 166
_space_group_name_Hall '-R 3 2"'
loop_
_atom_site_label
_atom_site_type_symbol
_atom_site_fract_x
_atom_site_fract_y
_atom_site_fract_z
Tb1 Tb 0.0000 0.0000 0.0000
Sm1 Sm 0.0000 0.0000 0.5000
Th1 Th 0.0000 0.0000 0.4123
```

Summary:
Total DFT energy (no corrections)   -70.07 eV/cell
Size of the total moment   0.0 μB per formula unit
Density of states at the Fermi level   17.69 states/eV per cell
Relative energy among the computed polymorphs   178 meV/atom

---

[8]
A geometry-optimized Li2PtPbN structure. Source: Alexandria via LeMat-Bulk, functional PBE.

Cell and atoms, written as CIF:
```
data_Li2PtPbN
_cell_length_a 4.454
_cell_length_b 4.454
_cell_length_c 3.892
_cell_angle_alpha 90.00
_cell_angle_beta 90.00
_cell_angle_gamma 90.00
_space_group_name_H-M_alt 'P 4/m m m'
_space_group_IT_number 123
_space_group_name_Hall '-P 4 2'
loop_
_atom_site_label
_atom_site_type_symbol
_atom_site_fract_x
_atom_site_fract_y
_atom_site_fract_z
Li1 Li 0.000 0.500 0.000
Pt1 Pt 0.000 0.000 0.500
Pb1 Pb 0.500 0.500 0.500
N1 N 0.000 0.000 0.000
```

Summary:
Total DFT energy (no corrections)   -22.94 eV/cell
Size of the total moment   0.0 μB per formula unit
Density of states at the Fermi level   1.36 states/eV per cell

---

What did the eighth record say?
A geometry-optimized Li2PtPbN structure. Source: Alexandria via LeMat-Bulk, functional PBE.

Cell and atoms, written as CIF:
```
data_Li2PtPbN
_cell_length_a 4.454
_cell_length_b 4.454
_cell_length_c 3.892
_cell_angle_alpha 90.00
_cell_angle_beta 90.00
_cell_angle_gamma 90.00
_space_group_name_H-M_alt 'P 4/m m m'
_space_group_IT_number 123
_space_group_name_Hall '-P 4 2'
loop_
_atom_site_label
_atom_site_type_symbol
_atom_site_fract_x
_atom_site_fract_y
_atom_site_fract_z
Li1 Li 0.000 0.500 0.000
Pt1 Pt 0.000 0.000 0.500
Pb1 Pb 0.500 0.500 0.500
N1 N 0.000 0.000 0.000
```

Summary:
Total DFT energy (no corrections)   -22.94 eV/cell
Size of the total moment   0.0 μB per formula unit
Density of states at the Fermi level   1.36 states/eV per cell

---

- size of the total moment of number 7 (TbSmTh2)?
  0.0 μB per formula unit